[1]
The following is a DFT calculation (PBE) of an optimized crystal structure of AlZn2Te.

Cell and atoms, written as CIF:
```
data_AlZn2Te
_chemical_formula_sum 'Al2 Zn4 Te2'
_symmetry_space_group_name_H-M 'C m m m'
_symmetry_Int_Tables_number 65
_symmetry_space_group_name_Hall '-C 2 2'
_cell_length_a 4.239
_cell_length_b 4.818
_cell_length_c 8.017
_cell_angle_alpha 90.00
_cell_angle_beta 90.00
_cell_angle_gamma 90.00
loop_
_atom_site_label
_atom_site_type_symbol
_atom_site_fract_x
_atom_site_fract_y
_atom_site_fract_z
Al1 Al 0.000 0.000 0.000
Zn1 Zn 0.000 0.500 0.210
Te1 Te 0.000 0.000 0.500
```

Values from the calculation:
DOS at the Fermi energy: 0.45 states/eV/atom
Calculated density: 5.789 g cm⁻³
ΔE to the lowest computed polymorph: 191 meV per atom
Uncorrected formation energy: 190 meV per atom
Uncorrected energy: -2.1683 eV per atom

[2]
The following is a DFT calculation (PBE) of an optimized crystal structure of AlZn2Te.

Cell and atoms, written as CIF:
```
data_AlZn2Te
_chemical_formula_sum 'Al4 Zn8 Te4'
_symmetry_space_group_name_H-M 'F m -3 m'
_symmetry_Int_Tables_number 225
_symmetry_space_group_name_Hall '-F 4 2 3'
_cell_length_a 6.960
_cell_length_b 6.960
_cell_length_c 6.960
_cell_angle_alpha 90.00
_cell_angle_beta 90.00
_cell_angle_gamma 90.00
loop_
_atom_site_label
_atom_site_type_symbol
_atom_site_fract_x
_atom_site_fract_y
_atom_site_fract_z
Al1 Al 0.000 0.000 0.000
Zn1 Zn 0.250 0.250 0.250
Te1 Te 0.000 0.000 0.500
```

Values from the calculation:
DOS at the Fermi energy: 0.62 states/eV/atom
Calculated density: 5.622 g cm⁻³
ΔE to the lowest computed polymorph: 275 meV per atom
Uncorrected formation energy: 274 meV per atom
Uncorrected energy: -2.0844 eV per atom

[3]
The following is a DFT calculation (PBE) of an optimized crystal structure of Al2Zn2Te.

Cell and atoms, written as CIF:
```
data_Al2Zn2Te
_chemical_formula_sum 'Al4 Zn4 Te2'
_symmetry_space_group_name_H-M 'I 4/m m m'
_symmetry_Int_Tables_number 139
_symmetry_space_group_name_Hall '-I 4 2'
_cell_length_a 4.067
_cell_length_b 4.067
_cell_length_c 12.010
_cell_angle_alpha 90.00
_cell_angle_beta 90.00
_cell_angle_gamma 90.00
loop_
_atom_site_label
_atom_site_type_symbol
_atom_site_fract_x
_atom_site_fract_y
_atom_site_fract_z
Al1 Al 0.000 0.500 0.250
Zn1 Zn 0.000 0.000 0.105
Te1 Te 0.000 0.000 0.500
```

Values from the calculation:
DOS at the Fermi energy: 0.47 states/eV/atom
Calculated density: 5.223 g cm⁻³
ΔE to the lowest computed polymorph: 0 meV per atom
Uncorrected formation energy: 132 meV per atom
Uncorrected energy: -2.5030 eV per atom

[4]
The following is a DFT calculation (PBE) of an optimized crystal structure of AlZn2Te.

Cell and atoms, written as CIF:
```
data_AlZn2Te
_chemical_formula_sum 'Al1 Zn2 Te1'
_symmetry_space_group_name_H-M 'P 1 2/m 1'
_symmetry_Int_Tables_number 10
_cell_length_a 4.392
_cell_length_b 3.782
_cell_length_c 5.566
_cell_angle_alpha 90.00
_cell_angle_beta 109.53
_cell_angle_gamma 90.00
loop_
_symmetry_equiv_pos_as_xyz
'x,y,z'
'-x,-y,-z'
'-x,y,-z'
'x,-y,z'
loop_
_atom_site_label
_atom_site_type_symbol
_atom_site_fract_x
_atom_site_fract_y
_atom_site_fract_z
Al1 Al 0.000 0.000 0.000
Zn1 Zn 0.258 0.500 0.775
Te1 Te 0.500 0.000 0.500
```

Values from the calculation:
DOS at the Fermi energy: 0.44 states/eV/atom
Calculated density: 5.439 g cm⁻³
ΔE to the lowest computed polymorph: 97 meV per atom
Uncorrected formation energy: 96 meV per atom
Uncorrected energy: -2.2621 eV per atom

[5]
The following is a DFT calculation (PBE) of an optimized crystal structure of AlZn2Te.

Cell and atoms, written as CIF:
```
data_AlZn2Te
_chemical_formula_sum 'Al1 Zn2 Te1'
_symmetry_space_group_name_H-M 'P 4/m m m'
_symmetry_Int_Tables_number 123
_symmetry_space_group_name_Hall '-P 4 2'
_cell_length_a 3.760
_cell_length_b 3.760
_cell_length_c 5.778
_cell_angle_alpha 90.00
_cell_angle_beta 90.00
_cell_angle_gamma 90.00
loop_
_atom_site_label
_atom_site_type_symbol
_atom_site_fract_x
_atom_site_fract_y
_atom_site_fract_z
Al1 Al 0.000 0.000 0.000
Zn1 Zn 0.500 0.500 0.226
Te1 Te 0.000 0.000 0.500
```

Values from the calculation:
DOS at the Fermi energy: 0.48 states/eV/atom
Calculated density: 5.802 g cm⁻³
ΔE to the lowest computed polymorph: 171 meV per atom
Uncorrected formation energy: 170 meV per atom
Uncorrected energy: -2.1883 eV per atom

[6]
The following is a DFT calculation (PBE) of an optimized crystal structure of Al2ZnTe.

Cell and atoms, written as CIF:
```
data_Al2ZnTe
_chemical_formula_sum 'Al2 Zn1 Te1'
_symmetry_space_group_name_H-M 'P 4 m m'
_symmetry_Int_Tables_number 99
_cell_length_a 3.689
_cell_length_b 3.689
_cell_length_c 6.068
_cell_angle_alpha 90.00
_cell_angle_beta 90.00
_cell_angle_gamma 90.00
loop_
_symmetry_equiv_pos_as_xyz
'x,y,z'
'-y,x,z'
'-x,-y,z'
'y,-x,z'
'-x,y,z'
'y,x,z'
'x,-y,z'
'-y,-x,z'
loop_
_atom_site_label
_atom_site_type_symbol
_atom_site_fract_x
_atom_site_fract_y
_atom_site_fract_z
Al1 Al 0.000 0.000 0.000
Al2 Al 0.500 0.500 0.275
Zn1 Zn 0.500 0.500 0.839
Te1 Te 0.000 0.000 0.499
```

Values from the calculation:
DOS at the Fermi energy: 0.25 states/eV/atom
Calculated density: 4.967 g cm⁻³
ΔE to the lowest computed polymorph: 107 meV per atom
Uncorrected formation energy: 149 meV per atom
Uncorrected energy: -2.8263 eV per atom

[7]
The following is a DFT calculation (PBE) of an optimized crystal structure of AlZn2Te4.

Cell and atoms, written as CIF:
```
data_AlZn2Te4
_chemical_formula_sum 'Al1 Zn2 Te4'
_symmetry_space_group_name_H-M 'P -4 2 m'
_symmetry_Int_Tables_number 111
_cell_length_a 6.118
_cell_length_b 6.118
_cell_length_c 5.790
_cell_angle_alpha 90.00
_cell_angle_beta 90.00
_cell_angle_gamma 90.00
loop_
_symmetry_equiv_pos_as_xyz
'x,y,z'
'y,-x,-z'
'-x,-y,z'
'-y,x,-z'
'x,-y,-z'
'y,x,z'
'-x,y,-z'
'-y,-x,z'
loop_
_atom_site_label
_atom_site_type_symbol
_atom_site_fract_x
_atom_site_fract_y
_atom_site_fract_z
Al1 Al 0.000 0.000 0.000
Zn1 Zn 0.000 0.500 0.500
Te1 Te 0.264 0.264 0.230
```

Values from the calculation:
DOS at the Fermi energy: 0.73 states/eV/atom
Calculated density: 5.120 g cm⁻³
Uncorrected formation energy: -337 meV per atom
Uncorrected energy: -3.0312 eV per atom

[8]
The following is a DFT calculation (PBE) of an optimized crystal structure of AlZn2Te.

Cell and atoms, written as CIF:
```
data_AlZn2Te
_chemical_formula_sum 'Al2 Zn4 Te2'
_symmetry_space_group_name_H-M 'C 1 m 1'
_symmetry_Int_Tables_number 8
_cell_length_a 7.852
_cell_length_b 4.011
_cell_length_c 6.231
_cell_angle_alpha 90.00
_cell_angle_beta 113.94
_cell_angle_gamma 90.00
loop_
_symmetry_equiv_pos_as_xyz
'x,y,z'
'x,-y,z'
'x+1/2,y+1/2,z'
'x+1/2,-y+1/2,z'
loop_
_atom_site_label
_atom_site_type_symbol
_atom_site_fract_x
_atom_site_fract_y
_atom_site_fract_z
Al1 Al 0.000 0.000 0.000
Zn1 Zn 0.038 0.500 0.712
Zn2 Zn 0.268 0.000 0.847
Te1 Te 0.127 0.500 0.335
```

Values from the calculation:
DOS at the Fermi energy: 0.18 states/eV/atom
Calculated density: 5.285 g cm⁻³
ΔE to the lowest computed polymorph: 0 meV per atom
Uncorrected formation energy: -1 meV per atom
Uncorrected energy: -2.3590 eV per atom

[9]
The following is a DFT calculation (PBE) of an optimized crystal structure of Al2ZnTe.

Cell and atoms, written as CIF:
```
data_Al2ZnTe
_chemical_formula_sum 'Al4 Zn2 Te2'
_symmetry_space_group_name_H-M 'C m m m'
_symmetry_Int_Tables_number 65
_symmetry_space_group_name_Hall '-C 2 2'
_cell_length_a 5.875
_cell_length_b 9.664
_cell_length_c 2.974
_cell_angle_alpha 90.00
_cell_angle_beta 90.00
_cell_angle_gamma 90.00
loop_
_atom_site_label
_atom_site_type_symbol
_atom_site_fract_x
_atom_site_fract_y
_atom_site_fract_z
Al1 Al 0.250 0.250 0.000
Zn1 Zn 0.000 0.000 0.500
Te1 Te 0.000 0.500 0.500
```

Values from the calculation:
DOS at the Fermi energy: 0.21 states/eV/atom
Calculated density: 4.857 g cm⁻³
ΔE to the lowest computed polymorph: 217 meV per atom
Uncorrected formation energy: 259 meV per atom
Uncorrected energy: -2.7158 eV per atom

[10]
The following is a DFT calculation (PBE) of an optimized crystal structure of Al2ZnTe.

Cell and atoms, written as CIF:
```
data_Al2ZnTe
_chemical_formula_sum 'Al4 Zn2 Te2'
_symmetry_space_group_name_H-M 'C m m 2'
_symmetry_Int_Tables_number 35
_cell_length_a 4.613
_cell_length_b 4.645
_cell_length_c 7.641
_cell_angle_alpha 90.00
_cell_angle_beta 90.00
_cell_angle_gamma 90.00
loop_
_symmetry_equiv_pos_as_xyz
'x,y,z'
'-x,-y,z'
'-x,y,z'
'x,-y,z'
'x+1/2,y+1/2,z'
'-x+1/2,-y+1/2,z'
'-x+1/2,y+1/2,z'
'x+1/2,-y+1/2,z'
loop_
_atom_site_label
_atom_site_type_symbol
_atom_site_fract_x
_atom_site_fract_y
_atom_site_fract_z
Al1 Al 0.000 0.000 0.000
Al2 Al 0.000 0.500 0.217
Zn1 Zn 0.000 0.000 0.423
Te1 Te 0.000 0.500 0.722
```

Values from the calculation:
DOS at the Fermi energy: 0.32 states/eV/atom
Calculated density: 5.011 g cm⁻³
ΔE to the lowest computed polymorph: 140 meV per atom
Uncorrected formation energy: 183 meV per atom
Uncorrected energy: -2.7926 eV per atom

[11]
The following is a DFT calculation (PBE) of an optimized crystal structure of Al2ZnTe.

Cell and atoms, written as CIF:
```
data_Al2ZnTe
_chemical_formula_sum 'Al2 Zn1 Te1'
_symmetry_space_group_name_H-M 'P m m m'
_symmetry_Int_Tables_number 47
_cell_length_a 3.766
_cell_length_b 4.634
_cell_length_c 4.768
_cell_angle_alpha 90.00
_cell_angle_beta 90.00
_cell_angle_gamma 90.00
loop_
_symmetry_equiv_pos_as_xyz
'x,y,z'
'-x,-y,-z'
'-x,-y,z'
'x,y,-z'
'x,-y,-z'
'-x,y,z'
'-x,y,-z'
'x,-y,z'
loop_
_atom_site_label
_atom_site_type_symbol
_atom_site_fract_x
_atom_site_fract_y
_atom_site_fract_z
Al1 Al 0.000 0.000 0.000
Al2 Al 0.500 0.500 0.000
Zn1 Zn 0.000 0.500 0.500
Te1 Te 0.500 0.000 0.500
```

Values from the calculation:
DOS at the Fermi energy: 0.41 states/eV/atom
Calculated density: 4.928 g cm⁻³
ΔE to the lowest computed polymorph: 175 meV per atom
Uncorrected formation energy: 217 meV per atom
Uncorrected energy: -2.7582 eV per atom

[12]
The following is a DFT calculation (PBE) of an optimized crystal structure of Al2ZnTe.

Cell and atoms, written as CIF:
```
data_Al2ZnTe
_chemical_formula_sum 'Al8 Zn4 Te4'
_symmetry_space_group_name_H-M 'I -4 2 d'
_symmetry_Int_Tables_number 122
_symmetry_space_group_name_Hall 'I -4 2bw'
_cell_length_a 6.363
_cell_length_b 6.363
_cell_length_c 11.069
_cell_angle_alpha 90.00
_cell_angle_beta 90.00
_cell_angle_gamma 90.00
loop_
_atom_site_label
_atom_site_type_symbol
_atom_site_fract_x
_atom_site_fract_y
_atom_site_fract_z
Al1 Al 0.217 0.250 0.125
Zn1 Zn 0.000 0.000 0.000
Te1 Te 0.000 0.000 0.500
```

Values from the calculation:
DOS at the Fermi energy: 0.11 states/eV/atom
Calculated density: 3.661 g cm⁻³
ΔE to the lowest computed polymorph: 135 meV per atom
Uncorrected formation energy: 177 meV per atom
Uncorrected energy: -2.7984 eV per atom